*w*
Material: AgB3I
Method: DFT, PBE-GGA
State: relaxed

DOS at the Fermi energy (states/eV/cell): 2.3

Structure (CIF):
```
data_AgB3I
_chemical_formula_sum 'Ag1 B3 I1'
_space_group_name_H-M_alt 'P 1'
_space_group_IT_number 1
_space_group_name_Hall 'P 1'
_cell_length_a 4.4204
_cell_length_b 4.4204
_cell_length_c 4.4204
_cell_angle_alpha 90.00
_cell_angle_beta 90.00
_cell_angle_gamma 90.00
loop_
_atom_site_label
_atom_site_type_symbol
_atom_site_fract_x
_atom_site_fract_y
_atom_site_fract_z
Ag1 Ag 0.0000 0.0000 0.0000
B1 B 0.0000 0.0000 0.5000
B2 B 0.0000 0.5000 0.0000
B3 B 0.5000 0.0000 0.0000
I1 I 0.5000 0.5000 0.5000
```

=====

*x*
Material: AgB3I
Method: DFT, PBE-GGA
State: relaxed

DOS at the Fermi energy (states/eV/cell): 2.8

Structure (CIF):
```
data_AgB3I
_chemical_formula_sum 'Ag1 B3 I1'
_space_group_name_H-M_alt 'P 1'
_space_group_IT_number 1
_space_group_name_Hall 'P 1'
_cell_length_a 4.4550
_cell_length_b 4.4550
_cell_length_c 4.4550
_cell_angle_alpha 90.00
_cell_angle_beta 90.00
_cell_angle_gamma 90.00
loop_
_atom_site_label
_atom_site_type_symbol
_atom_site_fract_x
_atom_site_fract_y
_atom_site_fract_z
Ag1 Ag 0.0000 0.0000 0.0000
B1 B 0.0000 0.5000 0.5000
B2 B 0.5000 0.0000 0.5000
B3 B 0.5000 0.5000 0.0000
I1 I 0.5000 0.5000 0.5000
```

=====

*w* takes first place; second place is 64.8 kJ/mol of atoms up.

=====

*w*
Material: Ag2BI
Method: DFT, PBE-GGA
State: relaxed

DOS at the Fermi energy (states/eV/cell): 2.0

Structure (CIF):
```
data_Ag2BI
_chemical_formula_sum 'Ag8 B4 I4'
_space_group_name_H-M_alt 'P 1'
_space_group_IT_number 1
_space_group_name_Hall 'P 1'
_cell_length_a 6.5115
_cell_length_b 6.5115
_cell_length_c 8.5522
_cell_angle_alpha 90.00
_cell_angle_beta 90.00
_cell_angle_gamma 90.00
loop_
_atom_site_label
_atom_site_type_symbol
_atom_site_fract_x
_atom_site_fract_y
_atom_site_fract_z
Ag1 Ag 0.1533 0.2500 0.1250
Ag2 Ag 0.2500 0.6533 0.3750
Ag3 Ag 0.2500 0.8467 0.8750
Ag4 Ag 0.3467 0.2500 0.6250
Ag5 Ag 0.6533 0.7500 0.6250
Ag6 Ag 0.7500 0.1533 0.8750
Ag7 Ag 0.7500 0.3467 0.3750
Ag8 Ag 0.8467 0.7500 0.1250
B1 B 0.0000 0.0000 0.0000
B2 B 0.0000 0.5000 0.2500
B3 B 0.5000 0.0000 0.7500
B4 B 0.5000 0.5000 0.5000
I1 I 0.0000 0.0000 0.5000
I2 I 0.0000 0.5000 0.7500
I3 I 0.5000 0.0000 0.2500
I4 I 0.5000 0.5000 0.0000
```

=====

*x*
Material: Ag2BI
Method: DFT, PBE-GGA
State: relaxed

DOS at the Fermi energy (states/eV/cell): 8.6

Structure (CIF):
```
data_Ag2BI
_chemical_formula_sum 'Ag8 B4 I4'
_space_group_name_H-M_alt 'P 1'
_space_group_IT_number 1
_space_group_name_Hall 'P 1'
_cell_length_a 6.9249
_cell_length_b 6.9249
_cell_length_c 6.9249
_cell_angle_alpha 90.00
_cell_angle_beta 90.00
_cell_angle_gamma 90.00
loop_
_atom_site_label
_atom_site_type_symbol
_atom_site_fract_x
_atom_site_fract_y
_atom_site_fract_z
Ag1 Ag 0.2500 0.2500 0.2500
Ag2 Ag 0.2500 0.2500 0.7500
Ag3 Ag 0.2500 0.7500 0.2500
Ag4 Ag 0.2500 0.7500 0.7500
Ag5 Ag 0.7500 0.2500 0.2500
Ag6 Ag 0.7500 0.2500 0.7500
Ag7 Ag 0.7500 0.7500 0.2500
Ag8 Ag 0.7500 0.7500 0.7500
B1 B 0.0000 0.0000 0.0000
B2 B 0.0000 0.5000 0.5000
B3 B 0.5000 0.0000 0.5000
B4 B 0.5000 0.5000 0.0000
I1 I 0.0000 0.0000 0.5000
I2 I 0.0000 0.5000 0.0000
I3 I 0.5000 0.0000 0.0000
I4 I 0.5000 0.5000 0.5000
```

=====

*w* takes first place; second place is 50.5 kJ/mol of atoms up.

=====

*w*
Material: AgBIN2
Method: DFT, PBE-GGA
State: relaxed

DOS at the Fermi energy (states/eV/cell): 2.1

Structure (CIF):
```
data_AgBIN2
_chemical_formula_sum 'Ag1 B1 I1 N2'
_space_group_name_H-M_alt 'P 1'
_space_group_IT_number 1
_space_group_name_Hall 'P 1'
_cell_length_a 4.0286
_cell_length_b 4.0286
_cell_length_c 8.2311
_cell_angle_alpha 90.00
_cell_angle_beta 90.00
_cell_angle_gamma 90.00
loop_
_atom_site_label
_atom_site_type_symbol
_atom_site_fract_x
_atom_site_fract_y
_atom_site_fract_z
Ag1 Ag 0.0000 0.0000 0.0000
B1 B 0.5000 0.5000 0.5000
I1 I 0.0000 0.0000 0.5000
N1 N 0.0000 0.5000 0.0000
N2 N 0.5000 0.0000 0.0000
```

=====

*x*
Material: AgBIN2
Method: DFT, PBE-GGA
State: relaxed

DOS at the Fermi energy (states/eV/cell): 3.3

Structure (CIF):
```
data_AgBIN2
_chemical_formula_sum 'Ag1 B1 I1 N2'
_space_group_name_H-M_alt 'P 1'
_space_group_IT_number 1
_space_group_name_Hall 'P 1'
_cell_length_a 3.5716
_cell_length_b 3.5716
_cell_length_c 7.3036
_cell_angle_alpha 90.00
_cell_angle_beta 90.00
_cell_angle_gamma 90.00
loop_
_atom_site_label
_atom_site_type_symbol
_atom_site_fract_x
_atom_site_fract_y
_atom_site_fract_z
Ag1 Ag 0.0000 0.0000 0.0000
B1 B 0.5000 0.5000 0.5000
I1 I 0.5000 0.5000 0.0000
N1 N 0.0000 0.5000 0.5000
N2 N 0.5000 0.0000 0.5000
```

=====

*x* takes first place; second place is 70.5 kJ/mol of atoms up.

=====

*w*
Material: AgBI2N
Method: DFT, PBE-GGA
State: relaxed

DOS at the Fermi energy (states/eV/cell): 4.1

Structure (CIF):
```
data_AgBI2N
_chemical_formula_sum 'Ag1 B1 I2 N1'
_space_group_name_H-M_alt 'P 1'
_space_group_IT_number 1
_space_group_name_Hall 'P 1'
_cell_length_a 6.5743
_cell_length_b 6.5743
_cell_length_c 2.7938
_cell_angle_alpha 90.00
_cell_angle_beta 90.00
_cell_angle_gamma 90.00
loop_
_atom_site_label
_atom_site_type_symbol
_atom_site_fract_x
_atom_site_fract_y
_atom_site_fract_z
Ag1 Ag 0.0000 0.0000 0.0000
B1 B 0.5000 0.5000 0.5000
I1 I 0.0000 0.5000 0.5000
I2 I 0.5000 0.0000 0.5000
N1 N 0.5000 0.5000 0.0000
```

=====

*x*
Material: AgBI2N
Method: DFT, PBE-GGA
State: relaxed

DOS at the Fermi energy (states/eV/cell): 2.0

Structure (CIF):
```
data_AgBI2N
_chemical_formula_sum 'Ag1 B1 I2 N1'
_space_group_name_H-M_alt 'P 1'
_space_group_IT_number 1
_space_group_name_Hall 'P 1'
_cell_length_a 5.7977
_cell_length_b 5.7977
_cell_length_c 4.1161
_cell_angle_alpha 90.00
_cell_angle_beta 90.00
_cell_angle_gamma 90.00
loop_
_atom_site_label
_atom_site_type_symbol
_atom_site_fract_x
_atom_site_fract_y
_atom_site_fract_z
Ag1 Ag 0.0000 0.0000 0.0000
B1 B 0.5000 0.5000 0.5000
I1 I 0.0000 0.5000 0.0000
I2 I 0.5000 0.0000 0.0000
N1 N 0.0000 0.0000 0.5000
```

=====

*w* takes first place; second place is 146.3 kJ/mol of atoms up.

=====

*w*
Material: AgBIO2
Method: DFT, PBE-GGA
State: relaxed

DOS at the Fermi energy (states/eV/cell): 3.4

Structure (CIF):
```
data_AgBIO2
_chemical_formula_sum 'Ag1 B1 I1 O2'
_space_group_name_H-M_alt 'P 1'
_space_group_IT_number 1
_space_group_name_Hall 'P 1'
_cell_length_a 3.5935
_cell_length_b 3.5935
_cell_length_c 6.1647
_cell_angle_alpha 90.00
_cell_angle_beta 90.00
_cell_angle_gamma 90.00
loop_
_atom_site_label
_atom_site_type_symbol
_atom_site_fract_x
_atom_site_fract_y
_atom_site_fract_z
Ag1 Ag 0.0000 0.0000 0.0000
B1 B 0.5000 0.5000 0.5000
I1 I 0.5000 0.5000 0.0000
O1 O 0.0000 0.5000 0.5000
O2 O 0.5000 0.0000 0.5000
```

=====

*x*
Material: AgBIO2
Method: DFT, PBE-GGA
State: relaxed

DOS at the Fermi energy (states/eV/cell): 4.3

Structure (CIF):
```
data_AgBIO2
_chemical_formula_sum 'Ag1 B1 I1 O2'
_space_group_name_H-M_alt 'P 1'
_space_group_IT_number 1
_space_group_name_Hall 'P 1'
_cell_length_a 3.9303
_cell_length_b 3.9303
_cell_length_c 7.3472
_cell_angle_alpha 90.00
_cell_angle_beta 90.00
_cell_angle_gamma 90.00
loop_
_atom_site_label
_atom_site_type_symbol
_atom_site_fract_x
_atom_site_fract_y
_atom_site_fract_z
Ag1 Ag 0.0000 0.0000 0.0000
B1 B 0.5000 0.5000 0.5000
I1 I 0.0000 0.0000 0.5000
O1 O 0.0000 0.5000 0.0000
O2 O 0.5000 0.0000 0.0000
```

=====

*w* takes first place; second place is 72.0 kJ/mol of atoms up.

=====

*w*
Material: AgBSb2I
Method: DFT, PBE-GGA
State: relaxed

DOS at the Fermi energy (states/eV/cell): 5.0

Structure (CIF):
```
data_AgBSb2I
_chemical_formula_sum 'Ag1 B1 Sb2 I1'
_space_group_name_H-M_alt 'P 1'
_space_group_IT_number 1
_space_group_name_Hall 'P 1'
_cell_length_a 5.3292
_cell_length_b 5.3292
_cell_length_c 5.8225
_cell_angle_alpha 90.00
_cell_angle_beta 90.00
_cell_angle_gamma 90.00
loop_
_atom_site_label
_atom_site_type_symbol
_atom_site_fract_x
_atom_site_fract_y
_atom_site_fract_z
Ag1 Ag 0.0000 0.0000 0.0000
B1 B 0.5000 0.5000 0.5000
Sb1 Sb 0.0000 0.5000 0.0000
Sb2 Sb 0.5000 0.0000 0.0000
I1 I 0.0000 0.0000 0.5000
```

=====

*x*
Material: AgBSb2I
Method: DFT, PBE-GGA
State: relaxed

DOS at the Fermi energy (states/eV/cell): 3.2

Structure (CIF):
```
data_AgBSb2I
_chemical_formula_sum 'Ag1 B1 Sb2 I1'
_space_group_name_H-M_alt 'P 1'
_space_group_IT_number 1
_space_group_name_Hall 'P 1'
_cell_length_a 4.9366
_cell_length_b 4.9366
_cell_length_c 4.9573
_cell_angle_alpha 90.00
_cell_angle_beta 90.00
_cell_angle_gamma 90.00
loop_
_atom_site_label
_atom_site_type_symbol
_atom_site_fract_x
_atom_site_fract_y
_atom_site_fract_z
Ag1 Ag 0.0000 0.0000 0.0000
B1 B 0.5000 0.5000 0.5000
Sb1 Sb 0.0000 0.5000 0.5000
Sb2 Sb 0.5000 0.0000 0.5000
I1 I 0.5000 0.5000 0.0000
```

=====

*x* takes first place; second place is 58.4 kJ/mol of atoms up.